A plane-wave DFT calculation with PBE-GGA was carried out for a relaxed Nb3Pd2Rh3 crystal.

```
Nb3Pd2Rh3
1.0
3.890 0.000 0.000
0.000 3.960 0.000
-1.945 -1.980 8.179
Nb Rh Pd
3 3 2
Direct
0.000 0.500 0.000
0.873 0.873 0.746
0.127 0.127 0.254
0.624 0.624 0.247
0.500 0.000 0.000
0.376 0.376 0.753
0.251 0.751 0.501
0.749 0.249 0.499
```

Formation energy from the elements = -3.2 eV/f.u.
Fermi-level density of states = 0.699 states/eV per atom
Total energy = -0.6053 Ry/atom